Here is K2TmBr4 after structural relaxation from Alexandria via LeMat-Bulk. Energies are from PBE-GGA.

Cell lengths 5.548, 5.548, 9.339 Å; angles 72.72, 72.72, 90.00 degrees
Positions (direct):
1 K 0.640 0.640 0.719
2 K 0.360 0.360 0.281
3 Tm 0.000 0.000 0.000
4 Br 0.834 0.834 0.332
5 Br 0.166 0.166 0.668
6 Br 0.000 0.500 0.000
7 Br 0.500 0.000 0.000

Computed properties:
Magnetic moment (μB per formula unit): 0.3
Uncorrected formation energy (eV/atom): -1.55


Here is K3TmBr6 after structural relaxation from Alexandria via LeMat-Bulk. Energies are from PBE-GGA.

Cell lengths 7.862, 8.370, 11.286 Å; angles 90.00, 89.02, 90.00 degrees
Positions (direct):
1 K 0.532 0.921 0.756
2 K 0.500 0.500 0.000
3 K 0.468 0.079 0.244
4 K 0.032 0.579 0.256
5 K 0.000 0.000 0.500
6 K 0.968 0.421 0.744
7 Tm 0.500 0.500 0.500
8 Tm 0.000 0.000 0.000
9 Br 0.716 0.178 0.942
10 Br 0.665 0.224 0.575
11 Br 0.631 0.448 0.273
12 Br 0.369 0.552 0.727
13 Br 0.335 0.776 0.425
14 Br 0.284 0.822 0.058
15 Br 0.216 0.322 0.442
16 Br 0.165 0.276 0.075
17 Br 0.131 0.052 0.773
18 Br 0.869 0.948 0.227
19 Br 0.835 0.724 0.925
20 Br 0.784 0.678 0.558

Computed properties:
Magnetic moment (μB per formula unit): 0.0
Uncorrected formation energy (eV/atom): -1.82


What did the second record say?
Here is K3TmBr6 after structural relaxation from Alexandria via LeMat-Bulk. Energies are from PBE-GGA.

Cell lengths 7.862, 8.370, 11.286 Å; angles 90.00, 89.02, 90.00 degrees
Positions (direct):
1 K 0.532 0.921 0.756
2 K 0.500 0.500 0.000
3 K 0.468 0.079 0.244
4 K 0.032 0.579 0.256
5 K 0.000 0.000 0.500
6 K 0.968 0.421 0.744
7 Tm 0.500 0.500 0.500
8 Tm 0.000 0.000 0.000
9 Br 0.716 0.178 0.942
10 Br 0.665 0.224 0.575
11 Br 0.631 0.448 0.273
12 Br 0.369 0.552 0.727
13 Br 0.335 0.776 0.425
14 Br 0.284 0.822 0.058
15 Br 0.216 0.322 0.442
16 Br 0.165 0.276 0.075
17 Br 0.131 0.052 0.773
18 Br 0.869 0.948 0.227
19 Br 0.835 0.724 0.925
20 Br 0.784 0.678 0.558

Computed properties:
Magnetic moment (μB per formula unit): 0.0
Uncorrected formation energy (eV/atom): -1.82


- The highest uncorrected formation energy belongs to which entry?
  K2TmBr4


- Which value of magnetic moment does entry 2 give?
  0.0 μB per formula unit


- Which value of uncorrected formation energy does entry 2 give?
  -1.82 eV/atom